ZrCuP2O12 GGA-PBE relaxed; E_tot = -6.84 eV/atom; total magnetization = 3.00 μB/f.u.; energy above the lowest structure with this stoichiometry = 4 meV/atom; energy relative to the elements, uncorrected = -1.656 eV/atom; space group = No. 2
1.0
-5.4570 -0.0583 -0.5546
2.7269 4.7557 -0.1161
-1.6240 -0.5757 -9.6791
Zr Cu P O
1 1 2 12
Direct
0.0000 0.0000 0.0000 Zr
0.5000 0.5000 0.5000 Cu
0.4229 0.6720 0.8222 P
0.5771 0.3280 0.1778 P
0.2291 0.3568 0.8636 O
0.7709 0.6432 0.1364 O
0.8319 0.1073 0.4470 O
0.1681 0.8927 0.5530 O
0.5104 0.7105 0.6579 O
0.4896 0.2895 0.3421 O
0.2577 0.8340 0.8809 O
0.7423 0.1660 0.1191 O
0.7504 0.8810 0.3859 O
0.2496 0.1190 0.6141 O
0.7028 0.7973 0.8738 O
0.2972 0.2027 0.1262 O